[1]
4
Lattice="4.892 0.000 0.000 2.446 4.237 0.000 2.446 1.412 5.986" Properties=species:S:1:pos:R:3 comment="AcLa2Tc (PBE-GGA, optimized geometry)" polymorph_energy_mev_per_atom=221.9 space_group="R-3m, No. 166" e_form_mev_per_atom=283 pbc="T T T"
Ac 4.892 2.824 2.993
Tc 0.000 0.000 0.000
La 7.338 4.237 4.995
La 2.446 1.412 0.991


[2]
15
Lattice="6.984 -0.102 -0.147 -3.411 6.149 0.129 -3.411 -2.014 5.811" Properties=species:S:1:pos:R:3 comment="Ce3Pu4N8 (PBE-GGA, optimized geometry)" raw_formation_energy_kcal_per_mol_atoms=-27.57 space_group="C2/m, No. 12" pbc="T T T"
Pu -1.705 -1.007 2.906
Pu -1.705 3.074 0.064
Pu 3.492 -0.051 -0.073
Pu 0.000 0.000 0.000
Ce 0.081 2.016 2.896
Ce 1.787 3.023 -0.009
Ce 1.787 -1.058 2.832
N 5.407 0.808 1.161
N 0.081 -0.045 4.332
N 1.622 0.863 1.240
N 0.081 4.078 1.461
N -3.411 -0.189 4.541
N -3.411 4.324 1.399
N -1.460 3.170 4.553
N -5.245 3.225 4.632


[3]
12
Lattice="5.369 0.000 0.000 -2.684 4.649 0.000 0.000 0.000 10.262" Properties=species:S:1:pos:R:3 comment="Ce3Zn6AgHg2 (PBE-GGA, optimized geometry)" space_group="P-3m1, No. 164" e_form_mev_per_atom=-154 pbc="T T T"
Hg 2.684 1.550 1.181
Hg 0.000 3.100 9.080
Zn -1.328 3.866 2.805
Zn 1.357 0.783 7.457
Zn 2.684 3.083 7.457
Zn 1.328 3.866 2.805
Zn 0.000 1.566 2.805
Zn 4.012 0.783 7.457
Ce 0.000 3.100 5.731
Ce 0.000 0.000 0.000
Ce 2.684 1.550 4.530
Ag 0.000 0.000 5.131


[4]
16
Lattice="-1.532 1.071 -4.780 5.839 -3.378 -2.628 -5.235 -8.818 -0.298" Properties=species:S:1:pos:R:3 comment="PmTm3Ag4 (PBE-GGA, optimized geometry)" space_group="P4/mmm, No. 123" e_form_mev_per_atom=-316 pbc="T T T"
Ag -1.013 -8.114 -7.002
Ag 0.086 -3.011 -0.704
Ag 3.676 -2.034 -4.389
Ag 0.632 -0.273 -3.019
Ag 1.058 -6.443 -4.538
Ag -4.062 -6.350 -5.630
Ag 3.135 -4.775 -2.076
Ag -1.985 -4.682 -3.168
Pm 0.302 -6.098 -1.463
Pm 2.920 -1.689 -1.314
Tm -2.617 -4.409 -0.149
Tm -1.772 -7.767 -3.927
Tm 0.000 0.000 0.000
Tm -2.075 -1.669 -2.466
Tm 0.845 -3.358 -3.779
Tm -4.692 -6.079 -2.612


[5]
5
Lattice="4.793 0.505 -0.287 -0.524 4.791 -0.287 -1.766 -2.191 7.187" Properties=species:S:1:pos:R:3 comment="AcTb2Sn2 (PBE-GGA, optimized geometry)" space_group="I4/mmm, No. 139" e_form_mev_per_atom=-588 pbc="T T T"
Tb -0.077 2.624 3.307
Tb 2.580 0.481 3.307
Sn 0.289 0.359 5.456
Sn 2.214 2.746 1.158
Ac 0.000 0.000 0.000


[6]
12
Lattice="6.631 0.000 0.000 0.000 7.830 1.211 0.000 -1.427 7.793" Properties=species:S:1:pos:R:3 comment="AcTb3Y2 (PBE-GGA, optimized geometry)" polymorph_energy_mev_per_atom=4.1 space_group="Cmcm, No. 63" e_form_mev_per_atom=223 pbc="T T T"
Tb 4.973 3.665 5.154
Tb 3.315 5.478 2.883
Tb 0.000 5.478 2.883
Tb 0.000 0.924 6.121
Tb 1.658 2.738 3.850
Tb 3.315 0.924 6.121
Y 1.658 6.208 5.701
Y 4.973 0.195 3.303
Y 4.973 3.056 1.268
Y 1.658 3.346 7.735
Ac 4.973 5.672 7.976
Ac 1.658 0.731 1.028


[7]
4
Lattice="-3.003 -1.343 1.479 0.288 -2.766 -1.927 5.021 -4.032 6.536" Properties=species:S:1:pos:R:3 comment="Dy3Ru (PBE-GGA, optimized geometry)" space_group="Pmm2, No. 25" e_form_mev_per_atom=57 pbc="T T T"
Dy -0.717 -2.569 0.609
Dy 2.307 -3.730 5.697
Dy 2.510 -3.283 2.117
Ru 4.901 -3.935 6.380


[8]
12
Lattice="7.531 0.005 -0.001 -3.760 6.525 -0.001 -1.259 -2.180 8.129" Properties=species:S:1:pos:R:3 comment="La6GeIr2I3 (PBE-GGA, optimized geometry)" raw_formation_energy_kcal_per_mol_atoms=-24.43 space_group="C2/m, No. 12" pbc="T T T"
La 3.826 2.082 6.582
La 2.456 4.253 1.538
La 0.056 0.097 6.589
La -1.314 2.268 1.546
La 2.621 -0.005 1.546
La -0.109 4.355 6.582
I 1.256 2.175 4.064
I -2.554 4.376 4.064
I 5.066 -0.026 4.064
Ge 0.000 0.000 0.000
Ir 0.000 4.354 -0.001
Ir 3.771 2.176 -0.001


[9]
4
Lattice="4.332 0.000 0.000 0.000 3.563 0.016 0.000 1.497 5.847" Properties=species:S:1:pos:R:3 comment="YCuHg2 (PBE-GGA, optimized geometry)" space_group="P2/m, No. 10" e_form_mev_per_atom=-137 pbc="T T T"
Cu 2.166 3.795 4.398
Y 2.166 1.265 1.466
Hg 0.000 2.940 3.075
Hg 0.000 4.649 5.721


[10]
4
Lattice="-0.650 4.270 -1.645 -1.849 3.262 2.703 7.510 4.879 3.202" Properties=species:S:1:pos:R:3 comment="CsTe2Pb (PBE-GGA, optimized geometry)" raw_formation_energy_kcal_per_mol_atoms=-11.58 space_group="R3m, No. 160" pbc="T T T"
Cs 2.504 6.205 2.129
Te 5.883 4.418 2.647
Te 0.802 2.975 0.911
Pb 5.838 9.899 3.905


[11]
8
Lattice="-1.914 1.165 -3.479 2.739 -2.156 -2.230 -7.037 -9.614 0.652" Properties=species:S:1:pos:R:3 comment="BaHgPRu (PBE-GGA, optimized geometry)" space_group="P4/nmm, No. 129" e_form_mev_per_atom=-721 pbc="T T T"
Ba -5.156 -7.573 -0.930
Ba -1.057 -3.032 -4.126
P -5.746 -9.439 -3.691
P -0.466 -1.166 -1.365
Hg -1.943 -6.133 -2.216
Hg -4.270 -4.472 -2.840
Ru -0.751 0.335 -3.167
Ru 1.576 -1.326 -2.542


[12]
4
Lattice="-0.591 -2.674 3.140 1.940 -3.687 -0.011 6.478 1.041 4.869" Properties=species:S:1:pos:R:3 comment="Nd2CdSe (PBE-GGA, optimized geometry)" raw_formation_energy_kcal_per_mol_atoms=-23.36 polymorph_energy_mev_per_atom=0.0 space_group="R-3m, No. 166" pbc="T T T"
Cd 3.914 -2.660 3.999
Nd 6.038 -3.902 6.105
Nd 1.790 -1.417 1.894
Se 0.000 0.000 0.000